Below is LiBe2Se at its PBEsol-relaxed geometry, with properties calculated at the SCAN level.

## Properties
The calculation puts the volume at 14.589 A^3/atom. Its space-group type is I-42d. As for the magnetization: 0.00 μB per atom. The total energy is -7.680 eV/atom. The calculation puts the uncorrected formation energy at 44 kJ/mol of formula units.

Structure (POSCAR):
```
LiBe2Se
1.0
4.6935 0.0000 0.0000
2.3467 4.9866 0.0000
2.3467 0.0000 4.9866
Be Li Se
4 2 2
Cartesian
1.7600 0.3118 2.8051 Be
5.2801 2.1815 0.3118 Be
5.2801 2.8051 4.6749 Be
6.4535 4.6749 2.1815 Be
2.3467 0.0000 0.0000 Li
3.5201 2.4933 2.4933 Li
5.8668 2.4933 2.4933 Se
0.0000 0.0000 0.0000 Se
```